[1]
# CsCu2Hg2Br7

An optimized crystal structure of CsCu2Hg2Br7 (PBE-GGA, Alexandria via LeMat-Bulk).

The magnetic moment is 0.00 μB/cell. The total energy comes out at -2.370 eV/atom. The calculated volume is 591.5 Å³/f.u. The value obtained for the raw formation energy is -7.1 eV/f.u.

POSCAR file:
```
CsCu2Hg2Br7
1.0
3.7010 2.1368 12.4662
-3.7010 2.1368 12.4662
0.0000 -4.2735 12.4662
Cs Cu Hg Br
1 2 2 7
direct
0.0000 0.0000 0.0000
0.2608 0.2608 0.2608
0.7392 0.7392 0.7392
0.4278 0.4278 0.4278
0.5722 0.5722 0.5722
0.0508 0.4161 0.7499
0.2501 0.5839 0.9492
0.4161 0.7499 0.0508
0.5000 0.5000 0.5000
0.5839 0.9492 0.2501
0.7499 0.0508 0.4161
0.9492 0.2501 0.5839
```

***

[2]
# CsCu2HgBr8

An optimized crystal structure of CsCu2HgBr8 (PBE-GGA, Alexandria via LeMat-Bulk).

The magnetic moment is 2.81 μB/cell. The total energy comes out at -2.374 eV/atom. The calculated volume is 398.0 Å³/f.u. The value obtained for the raw formation energy is -5.8 eV/f.u.

POSCAR file:
```
CsCu2HgBr8
1.0
6.8164 0.0000 0.0000
-3.4082 5.9031 0.0000
0.0000 0.0000 9.8913
Cs Cu Hg Br
1 2 1 8
direct
0.0000 0.0000 0.0000
0.3333 0.6667 0.7345
0.6667 0.3333 0.2655
0.0000 0.0000 0.5000
0.0073 0.6707 0.3266
0.3293 0.3366 0.3266
0.3333 0.6667 0.9736
0.3366 0.0073 0.6734
0.6634 0.9927 0.3266
0.6667 0.3333 0.0264
0.6707 0.6634 0.6734
0.9927 0.3293 0.6734
```

***

[3]
# Cs3Cu2HgBr8

An optimized crystal structure of Cs3Cu2HgBr8 (PBE-GGA, Alexandria via LeMat-Bulk).

The magnetic moment is 1.06 μB/cell. The total energy comes out at -2.719 eV/atom. The calculated volume is 530.1 Å³/f.u. The value obtained for the raw formation energy is -13.6 eV/f.u.

POSCAR file:
```
Cs3Cu2HgBr8
1.0
7.7787 0.0000 0.0000
-3.8894 6.7366 0.0000
0.0000 0.0000 10.1155
Cs Cu Hg Br
3 2 1 8
direct
0.0000 0.0000 0.0000
0.3333 0.6667 0.6370
0.6667 0.3333 0.3630
0.3333 0.6667 0.2195
0.6667 0.3333 0.7805
0.0000 0.0000 0.5000
0.1675 0.3350 0.3228
0.1675 0.8325 0.3228
0.3333 0.6667 0.9902
0.3350 0.1675 0.6772
0.6650 0.8325 0.3228
0.6667 0.3333 0.0098
0.8325 0.1675 0.6772
0.8325 0.6650 0.6772
```